Material: K3Co
Method: DFT, PBEsol
State: relaxed

Results
- size of the total moment (μB/cell) = 1.99
- density of states at the Fermi level (states/eV/f.u.) = 2.869
- formation energy from the elements (eV/atom) = 0.920
- E_tot (eV per atom) = -1.865

Cell: 5.564 5.564 5.564 Å, 90.00 90.00 90.00°
Space group Pm-3m (No. 221)
Asymmetric unit:
K  0.000  0.000  0.500 x3
Co  0.500  0.500  0.500 x1